# 1
This record from the Alexandria database describes KTl3In3 after structural relaxation. The functional is PBE-GGA.

extended XYZ file:
```
14
Lattice="7.412 0.000 0.000 3.706 6.419 0.000 3.706 2.140 9.782" Properties=species:S:1:pos:R:3 pbc="T T T"
Tl 5.633 2.749 7.657
In 4.888 5.016 5.704
In 6.789 6.834 4.079
In 8.036 1.725 5.704
Tl 5.198 5.055 2.125
In 5.512 2.462 4.079
Tl 7.848 1.974 2.125
Tl 9.627 3.504 7.657
In 9.936 3.543 4.079
Tl 6.977 6.585 7.657
In 9.313 6.097 5.704
K 11.119 6.419 9.047
K 3.706 2.140 0.735
Tl 9.191 5.810 2.125
```

* DFT formation energy: -0.027 eV per atom
* space-group type: No. 148
* crystal system: trigonal

# 2
This record from the Alexandria database describes KTlIn after structural relaxation. The functional is PBE-GGA.

extended XYZ file:
```
3
Lattice="-4.627 2.401 1.997 -4.971 -2.397 -0.835 -2.729 -2.328 4.277" Properties=species:S:1:pos:R:3 pbc="T T T"
K -9.246 -1.744 4.079
In -6.164 -1.163 2.719
Tl 0.000 0.000 0.000
```

* DFT formation energy: 0.350 eV per atom
* space-group type: No. 216
* crystal system: cubic

Number 1: spin magnetization 0.00 μB/f.u., energy above the most stable polymorph in this dataset 5 kJ/mol of formula units. Number 2: spin magnetization 0.00 μB/f.u., energy above the most stable polymorph in this dataset 139 kJ/mol of formula units.